# 1
Material: SmTh2C
Method: DFT, PBE
State: relaxed

Output
For the total moment, the calculation gives 0.00 Bohr magnetons per cell. The relative energy among the computed polymorphs is 106 meV/atom. As for the formation energy: -26 meV/atom.

abc: 3.5963 3.5963 29.7227
angles: 90.00 90.00 120.00
With the nearest neighbours (Å) after each atom.
Element x y z (fractional)
Sm 0.0000 0.0000 0.0000  2 Th 3.48, 6 Sm 3.60
Sm 0.3333 0.6667 0.6667  2 Th 3.48, 6 Sm 3.60
Sm 0.6667 0.3333 0.3333  2 Th 3.48, 6 Sm 3.60
Th 0.0000 0.0000 0.1172  3 C 2.55
Th 0.0000 0.0000 0.8828  3 C 2.55
Th 0.3333 0.6667 0.5495  3 C 2.55
Th 0.3333 0.6667 0.7838  3 C 2.55
Th 0.6667 0.3333 0.2162  3 C 2.55
Th 0.6667 0.3333 0.4505  3 C 2.55
C 0.0000 0.0000 0.5000  6 Th 2.55
C 0.3333 0.6667 0.1667  6 Th 2.55
C 0.6667 0.3333 0.8333  6 Th 2.55



# 2
Material: Co2MoRh
Method: DFT, PBE
State: relaxed

Output
For the total moment, the calculation gives 0.00 Bohr magnetons per cell. The relative energy among the computed polymorphs is 554 meV/atom. As for the formation energy: 515 meV/atom.

abc: 6.5336 6.5336 5.1729
angles: 90.00 90.00 90.00
With the nearest neighbours (Å) after each atom.
Element x y z (fractional)
Co 0.2311 0.2500 0.1250  2 Mo 2.32, 2 Rh 2.48
Co 0.2500 0.7311 0.3750  2 Mo 2.32, 2 Rh 2.48
Co 0.2500 0.7689 0.8750  2 Mo 2.32, 2 Rh 2.48
Co 0.2689 0.2500 0.6250  2 Mo 2.32, 2 Rh 2.48
Co 0.7311 0.7500 0.6250  2 Mo 2.32, 2 Rh 2.48
Co 0.7500 0.2311 0.8750  2 Mo 2.32, 2 Rh 2.48
Co 0.7500 0.2689 0.3750  2 Mo 2.32, 2 Rh 2.48
Co 0.7689 0.7500 0.1250  2 Mo 2.32, 2 Rh 2.48
Mo 0.0000 0.0000 0.0000  4 Co 2.32, 2 Rh 2.59
Mo 0.0000 0.5000 0.2500  4 Co 2.32, 2 Rh 2.59
Mo 0.5000 0.0000 0.7500  4 Co 2.32, 2 Rh 2.59
Mo 0.5000 0.5000 0.5000  4 Co 2.32, 2 Rh 2.59
Rh 0.0000 0.0000 0.5000  4 Co 2.48, 2 Mo 2.59
Rh 0.0000 0.5000 0.7500  4 Co 2.48, 2 Mo 2.59
Rh 0.5000 0.0000 0.2500  4 Co 2.48, 2 Mo 2.59
Rh 0.5000 0.5000 0.0000  4 Co 2.48, 2 Mo 2.59



# 3
Material: CaSc2GaH
Method: DFT, PBE
State: relaxed

Output
For the total moment, the calculation gives 1.25 Bohr magnetons per cell. For the final energy, the calculation gives -22.37 eV for the cell shown.

abc: 4.5125 4.5125 4.6101
angles: 90.00 90.00 90.00
With the nearest neighbours (Å) after each atom.
Element x y z (fractional)
Ca 0.0000 0.0000 0.0000  2 H 2.31
Sc 0.0000 0.5000 0.5000  2 H 2.26
Sc 0.5000 0.0000 0.5000  2 H 2.26
Ga 0.5000 0.5000 0.0000  4 Ca 3.19, 8 Sc 3.23
H 0.0000 0.0000 0.5000  4 Sc 2.26, 2 Ca 2.31